The following is a DFT calculation (PBE+U) of a relaxed Ni2GePdO6 crystal.

Cell: 5.394 5.394 4.209 Å, 90.00 90.00 90.00°
Positions (direct):
1 Ni 0.000 0.500 0.000
2 Ni 0.500 0.000 0.000
3 Ge 0.000 0.000 0.669
4 Pd 0.500 0.500 0.731
5 O 0.000 0.000 0.261
6 O 0.238 0.238 0.820
7 O 0.238 0.762 0.820
8 O 0.500 0.500 0.250
9 O 0.762 0.238 0.820
10 O 0.762 0.762 0.820

Calculated values
DOS(E_F) in states/eV per cell: 2.98
Electronic total energy in eV per formula unit: -50.096